# 1
# PBE Zn2TeAs, optimized geometry
data_Zn2TeAs
_chemical_formula_sum 'Zn2 Te1 As1'
_cell_length_a 3.625
_cell_length_b 3.625
_cell_length_c 7.576
_cell_angle_alpha 90.00
_cell_angle_beta 90.00
_cell_angle_gamma 115.85
_space_group_name_H-M_alt 'P 1'
_space_group_IT_number 1
_space_group_name_Hall 'P 1'
loop_
_atom_site_label
_atom_site_type_symbol
_atom_site_fract_x
_atom_site_fract_y
_atom_site_fract_z
As1 As 0.500 0.500 0.250
Te1 Te 0.500 0.500 0.750
Zn1 Zn 0.000 0.000 0.024
Zn2 Zn 0.000 0.000 0.476
# N(E_F) ... 0.474 states/eV/atom
# Offset from the most stable computed form ... 363 meV/atom
# Formation energy from raw total energies ... 17.8 kJ/mol of atoms
# Magnetic moment ... 0.0000 μB/atom
# Calculated volume ... 90 Å³ per cell
# Calculated total energy ... -2.4002 eV/atom


# 2
# PBE MgAlAg4, optimized geometry
data_MgAlAg4
_chemical_formula_sum 'Mg1 Al1 Ag4'
_cell_length_a 3.167
_cell_length_b 4.629
_cell_length_c 7.350
_cell_angle_alpha 90.02
_cell_angle_beta 102.04
_cell_angle_gamma 90.00
_space_group_name_H-M_alt 'P 1'
_space_group_IT_number 1
_space_group_name_Hall 'P 1'
loop_
_atom_site_label
_atom_site_type_symbol
_atom_site_fract_x
_atom_site_fract_y
_atom_site_fract_z
Mg1 Mg 0.650 0.497 0.043
Al1 Al 0.852 0.998 0.450
Ag1 Ag 0.190 0.997 0.128
Ag2 Ag 0.515 0.997 0.778
Ag3 Ag 0.982 0.497 0.710
Ag4 Ag 0.319 0.498 0.379
# N(E_F) ... 0.359 states/eV/atom
# Offset from the most stable computed form ... 0 meV/atom
# Magnetic moment ... 0.0000 μB/atom
# Calculated volume ... 105 Å³ per cell
# Calculated total energy ... -2.8979 eV/atom


# 3
# PBE TbAlPt5, optimized geometry
data_TbAlPt5
_chemical_formula_sum 'Tb1 Al1 Pt5'
_cell_length_a 4.072
_cell_length_b 4.072
_cell_length_c 7.287
_cell_angle_alpha 90.00
_cell_angle_beta 90.00
_cell_angle_gamma 90.00
_space_group_name_H-M_alt 'P 1'
_space_group_IT_number 1
_space_group_name_Hall 'P 1'
loop_
_atom_site_label
_atom_site_type_symbol
_atom_site_fract_x
_atom_site_fract_y
_atom_site_fract_z
Tb1 Tb 0.000 0.000 0.500
Al1 Al 0.500 0.500 0.000
Pt1 Pt 0.000 0.500 0.793
Pt2 Pt 0.000 0.500 0.207
Pt3 Pt 0.500 0.000 0.793
Pt4 Pt 0.500 0.000 0.207
Pt5 Pt 0.500 0.500 0.500
# N(E_F) ... 0.516 states/eV/atom
# Magnetic moment ... 0.0000 μB/atom
# Calculated volume ... 121 Å³ per cell
# Calculated total energy ... -6.3914 eV/atom


# 4
# PBE Li2SnPd3, optimized geometry
data_Li2SnPd3
_chemical_formula_sum 'Li4 Sn2 Pd6'
_cell_length_a 5.419
_cell_length_b 5.272
_cell_length_c 7.309
_cell_angle_alpha 100.31
_cell_angle_beta 111.76
_cell_angle_gamma 90.00
_space_group_name_H-M_alt 'P 1'
_space_group_IT_number 1
_space_group_name_Hall 'P 1'
loop_
_atom_site_label
_atom_site_type_symbol
_atom_site_fract_x
_atom_site_fract_y
_atom_site_fract_z
Li1 Li 0.563 0.570 0.341
Li2 Li 0.778 0.070 0.341
Li3 Li 0.222 0.930 0.659
Li4 Li 0.437 0.430 0.659
Sn1 Sn 0.843 0.750 0.000
Sn2 Sn 0.157 0.250 0.000
Pd1 Pd 0.643 0.250 0.000
Pd2 Pd 0.357 0.750 0.000
Pd3 Pd 0.275 0.047 0.337
Pd4 Pd 0.937 0.453 0.663
Pd5 Pd 0.063 0.547 0.337
Pd6 Pd 0.725 0.953 0.663
# N(E_F) ... 0.408 states/eV/atom
# Offset from the most stable computed form ... 73 meV/atom
# Magnetic moment ... 0.0000 μB/atom
# Calculated volume ... 190 Å³ per cell
# Calculated total energy ... -4.3762 eV/atom


# 5
# PBE Na2AgTeI6, optimized geometry
data_Na2AgTeI6
_chemical_formula_sum 'Na2 Ag1 Te1 I6'
_cell_length_a 8.329
_cell_length_b 7.949
_cell_length_c 8.900
_cell_angle_alpha 59.27
_cell_angle_beta 59.19
_cell_angle_gamma 56.89
_space_group_name_H-M_alt 'P 1'
_space_group_IT_number 1
_space_group_name_Hall 'P 1'
loop_
_atom_site_label
_atom_site_type_symbol
_atom_site_fract_x
_atom_site_fract_y
_atom_site_fract_z
Na1 Na 0.525 0.506 0.457
Na2 Na 0.999 0.039 0.961
Ag1 Ag 0.813 0.815 0.533
Te1 Te 0.328 0.324 0.019
I1 I 0.612 0.181 0.294
I2 I 0.220 0.951 0.251
I3 I 0.959 0.581 0.250
I4 I 0.423 0.715 0.754
I5 I 0.704 0.083 0.779
I6 I 0.079 0.466 0.718
# N(E_F) ... 0.409 states/eV/atom
# Formation energy from raw total energies ... -51.4 kJ/mol of atoms
# Magnetic moment ... 0.0000 μB/atom
# Calculated volume ... 401 Å³ per cell
# Calculated total energy ... -2.3261 eV/atom


# 6
# PBE LiLaAg2Au4, optimized geometry
data_LiLaAg2Au4
_chemical_formula_sum 'Li1 La1 Ag2 Au4'
_cell_length_a 4.739
_cell_length_b 4.739
_cell_length_c 8.788
_cell_angle_alpha 74.36
_cell_angle_beta 74.36
_cell_angle_gamma 60.00
_space_group_name_H-M_alt 'P 1'
_space_group_IT_number 1
_space_group_name_Hall 'P 1'
loop_
_atom_site_label
_atom_site_type_symbol
_atom_site_fract_x
_atom_site_fract_y
_atom_site_fract_z
Li1 Li 0.500 0.500 0.500
La1 La 0.000 0.000 0.000
Ag1 Ag 0.757 0.757 0.729
Ag2 Ag 0.243 0.243 0.271
Au1 Au 0.394 0.394 0.817
Au2 Au 0.871 0.871 0.387
Au3 Au 0.129 0.129 0.613
Au4 Au 0.606 0.606 0.183
# N(E_F) ... 0.318 states/eV/atom
# Magnetic moment ... 0.0000 μB/atom
# Calculated volume ... 162 Å³ per cell
# Calculated total energy ... -3.6307 eV/atom